# 1
5
Lattice="5.2005 0.0000 0.0000 0.0000 5.2005 0.0000 0.0000 0.0000 4.8329" Properties=species:S:1:pos:R:3 comment="BaNbSe2S, optimized geometry, DFT PBE" raw_formation_energy_ev_per_atom=-1.254 space_group="P4/mmm (123)" pbc="T T T"
Nb 0.0000 0.0000 0.0000
Ba 2.6003 2.6003 2.4164
S 0.0000 0.0000 2.4164
Se 0.0000 2.6003 0.0000
Se 2.6003 0.0000 0.0000

# 2
12
Lattice="-4.1014 -4.3706 -0.1892 3.8527 -3.3853 -5.3157 1.7958 -1.9831 6.8850" Properties=species:S:1:pos:R:3 comment="Sc3SbS2, optimized geometry, DFT PBE" e_above_lowest_polymorph_ev_per_atom=0.2234 raw_formation_energy_ev_per_atom=-1.010 space_group="Cmcm (63)" pbc="T T T"
S 1.2047 -1.1450 0.3347
Sc 3.2601 -5.0834 -0.7562
S 2.3930 -6.4087 1.1400
S 4.4437 -4.2234 1.2345
Sc 0.5976 -6.8517 2.7782
Sb 0.1960 -6.2675 -2.0139
Sc -1.7131 -4.6556 2.1363
S -0.8460 -3.3303 0.2401
Sc 2.6301 -4.3435 -4.1929
Sc -1.0830 -5.3956 5.5730
Sb 1.3510 -3.4715 3.3940
Sc 0.9494 -2.8873 -1.3981

# 3
12
Lattice="3.6949 0.0000 0.0000 0.0000 8.9355 0.2011 0.0000 -4.0592 8.4514" Properties=species:S:1:pos:R:3 comment="RbZrCoS3, optimized geometry, DFT PBE" raw_formation_energy_ev_per_atom=-1.220 space_group="P2_1/m (11)" pbc="T T T"
Co 0.9237 -1.6564 5.0738
S 2.7712 3.6058 1.3506
Zr 0.9237 5.4661 1.5146
S 0.9237 1.2705 7.3019
S 0.9237 -2.3648 7.2593
Rb 2.7712 3.9130 6.5456
S 2.7712 -0.4750 4.5547
Co 2.7712 6.5326 3.5787
S 2.7712 7.2410 1.3932
Rb 0.9237 0.9633 2.1068
Zr 2.7712 -0.5898 7.1379
S 0.9237 5.3512 4.0978

# 4
5
Lattice="3.7777 0.0000 0.0000 0.0000 3.7777 0.0000 0.0000 0.0000 3.7777" Properties=species:S:1:pos:R:3 comment="ZnSiO3, optimized geometry, DFT PBE" raw_formation_energy_ev_per_atom=-0.046 space_group="Pm-3m (221)" pbc="T T T"
Si 1.8888 1.8888 1.8888
O 1.8888 0.0000 0.0000
O 0.0000 1.8888 0.0000
Zn 0.0000 0.0000 0.0000
O 0.0000 0.0000 1.8888

# 5
7
Lattice="-0.6857 -3.3041 3.4358 -0.8559 -3.3294 -3.3726 6.6957 -1.5576 -0.1615" Properties=species:S:1:pos:R:3 comment="CeSc2Au4, optimized geometry, DFT PBE" energy_ry_per_atom=-0.36865 space_group="P4/mmm (123)" pbc="T T T"
Au 4.5274 -2.7850 1.6004
Sc 0.0000 0.0000 0.0000
Au 4.4423 -2.7977 -1.8038
Au 1.4826 -2.0767 1.6738
Sc 2.5770 -4.0955 -0.0492
Ce -0.7708 -3.3167 0.0316
Au 1.3975 -2.0893 -1.7303

# 6
4
Lattice="3.3762 0.0000 0.0000 0.0000 3.3761 0.0000 0.0000 0.0000 7.8270" Properties=species:S:1:pos:R:3 comment="BaCrW2, optimized geometry, DFT PBE" e_above_lowest_polymorph_ev_per_atom=0.0000 space_group="P4mm (99)" pbc="T T T"
Cr 1.6881 1.6880 6.6891
W 1.6881 1.6880 1.1769
W 0.0000 0.0000 7.7480
Ba 0.0000 0.0000 3.9537

# 7
6
Lattice="2.4769 0.0000 0.0000 0.0000 2.4769 0.0000 0.0000 0.0000 7.8614" Properties=species:S:1:pos:R:3 comment="LiC5, optimized geometry, DFT PBE" e_above_lowest_polymorph_ev_per_atom=1.3917 space_group="P4/mmm (123)" pbc="T T T"
C 0.0000 0.0000 3.9307
C 0.0000 0.0000 5.2926
C 1.2385 1.2385 5.7660
Li 1.2385 1.2385 0.0000
C 1.2385 1.2385 2.0955
C 0.0000 0.0000 2.5688

# 8
5
Lattice="4.7404 0.0000 0.0000 0.0000 4.7404 0.0000 0.0000 0.0000 4.7404" Properties=species:S:1:pos:R:3 comment="Fe3SnP, optimized geometry, DFT PBE" e_above_lowest_polymorph_ev_per_atom=1.3962 space_group="Pm-3m (221)" pbc="T T T"
Fe 0.0000 2.3702 0.0000
Fe 0.0000 0.0000 2.3702
P 2.3702 2.3702 2.3702
Sn 0.0000 0.0000 0.0000
Fe 2.3702 0.0000 0.0000

# 9
11
Lattice="5.3133 0.0000 -1.5253 -0.1003 6.4501 -0.3495 -0.0245 -0.0277 9.9317" Properties=species:S:1:pos:R:3 comment="Tb8Sm2Zn, optimized geometry, DFT PBE" energy_ry_per_atom=-0.32007 space_group="C2/m (12)" pbc="T T T"
Tb 3.0057 3.9172 0.4533
Tb 0.7379 5.2364 2.5704
Sm 1.2264 2.1220 4.2722
Sm 3.9621 4.3004 3.7848
Tb 0.1880 1.6248 0.6550
Tb 2.1828 2.5052 7.6036
Zn 2.6566 0.0000 -0.7626
Tb 3.4567 0.7655 2.0244
Tb 5.0004 4.7976 7.4019
Tb 4.4506 1.1860 5.4865
Tb 1.7318 5.6569 6.0326

# 10
3
Lattice="8.2218 -0.1425 0.0743 6.3591 3.7497 -0.0817 1.8627 -2.3546 3.1031" Properties=species:S:1:pos:R:3 comment="MnSeCl, optimized geometry, DFT PBE" raw_formation_energy_ev_per_atom=-0.521 space_group="Fmm2 (42)" pbc="T T T"
Cl 13.9445 3.3089 0.1483
Se 10.9725 1.9157 0.8751
Mn 6.1076 -0.3648 2.0649

# 11
5
Lattice="5.0705 0.0000 0.0000 0.0000 5.7893 0.0000 0.0000 0.0000 5.0705" Properties=species:S:1:pos:R:3 comment="KV2BiP, optimized geometry, DFT PBE" energy_ry_per_atom=-0.25191 space_group="P4/mmm (123)" pbc="T T T"
Bi 0.0000 2.8947 0.0000
P 2.5352 2.8947 2.5352
V 0.0000 0.0000 2.5352
V 2.5352 0.0000 0.0000
K 0.0000 0.0000 0.0000

# 12
8
Lattice="-5.4410 -1.3240 -4.5407 4.6826 -2.4834 -4.8869 -0.6506 -4.6055 -3.6008" Properties=species:S:1:pos:R:3 comment="Hf2CuGe, optimized geometry, DFT PBE" energy_ry_per_atom=-0.52597 space_group="I-42d (122)" pbc="T T T"
Cu 1.8264 -4.4963 -6.6007
Hf -2.9150 -2.2740 -4.2965
Hf -0.7182 -4.9107 -6.2924
Hf 2.0209 -2.8843 -4.5746
Ge -3.2354 -3.9166 -6.4276
Ge 0.0000 0.0000 0.0000
Hf -1.2057 -6.7569 -10.8932
Cu -0.3792 -1.9037 -4.7138

# 13
4
Lattice="5.4809 0.0000 0.0000 2.7405 4.7466 0.0000 2.7405 1.5822 4.4751" Properties=species:S:1:pos:R:3 comment="CsTiSb2, optimized geometry, DFT PBE" e_above_lowest_polymorph_ev_per_atom=0.6898 raw_formation_energy_ev_per_atom=0.405 space_group="Fm-3m (225)" pbc="T T T"
Sb 2.7405 1.5822 1.1188
Sb 8.2214 4.7466 3.3564
Cs 5.4809 3.1644 2.2376
Ti 0.0000 0.0000 0.0000

# 14
5
Lattice="-3.4618 -1.6926 -0.5432 1.4886 -2.1102 -2.9112 0.9717 -2.7975 2.5247" Properties=species:S:1:pos:R:3 comment="TiN3F, optimized geometry, DFT PBE" raw_formation_energy_ev_per_atom=1.133 space_group="Pm-3m (221)" pbc="T T T"
F -0.5008 -3.3002 -0.4648
N -1.7309 -0.8463 -0.2716
Ti 0.0000 0.0000 0.0000
N 0.7443 -1.0551 -1.4556
N 0.4858 -1.3987 1.2623

# 15
8
Lattice="-0.8227 4.9383 1.9549 -4.8873 -1.4783 1.6777 0.2580 -0.5469 8.8782" Properties=species:S:1:pos:R:3 comment="Y2OsAu, optimized geometry, DFT PBE" energy_ry_per_atom=-0.46942 space_group="I-42d (122)" pbc="T T T"
Au -1.7098 3.0607 6.3247
Y -3.1186 -0.2887 3.5737
Y -1.0348 2.6102 3.5898
Y -2.1008 0.8410 8.0734
Au 0.0000 0.0000 0.0000
Os -2.8550 1.7300 1.8163
Os -3.7421 -0.1476 6.1861
Y -4.6496 2.6636 9.7846

# 16
12
Lattice="-3.2615 0.3826 2.8111 -2.2233 -3.7015 -2.0758 5.1887 -7.0290 6.9766" Properties=species:S:1:pos:R:3 comment="RhAu, optimized geometry, DFT PBE" energy_ry_per_atom=-0.35424 space_group="Pmmn (59)" pbc="T T T"
Au 1.5723 -6.2204 5.9943
Rh 0.3022 -4.4244 4.2763
Au 2.3568 -7.8334 3.8004
Rh -2.8974 -3.7119 0.4671
Au -0.2418 -4.3131 0.3064
Rh 1.1029 -9.1310 5.8458
Au 1.1015 -5.9999 2.0945
Rh -1.5619 -2.6003 -1.4582
Au -1.0178 -2.7116 2.5117
Au -2.3612 -1.0248 0.7235
Rh 2.8262 -4.9227 3.9490
Rh 1.6378 -3.3128 2.3510

# 17
20
Lattice="4.5908 0.0000 0.0000 0.0000 9.2293 -0.5047 0.0000 2.1759 10.2596" Properties=species:S:1:pos:R:3 comment="PmIn6Pd3, optimized geometry, DFT PBE" energy_ry_per_atom=-0.30341 space_group="P2_1/m (11)" pbc="T T T"
Pd 3.4431 8.5665 4.7141
In 1.1477 4.7582 7.0304
Pd 1.1477 6.0054 1.2456
Pd 1.1477 9.8477 8.6460
In 3.4431 6.6470 2.7245
In 3.4431 4.3364 0.7502
In 3.4431 4.6060 5.0123
In 1.1477 3.1907 2.2691
Pd 3.4431 1.5574 1.1088
In 1.1477 7.0688 9.0047
In 1.1477 9.6594 5.8013
In 3.4431 1.7458 3.9536
Pm 3.4431 2.3269 7.5705
Pm 1.1477 9.0782 2.1844
In 3.4431 7.9559 -0.0485
In 1.1477 6.7992 4.7426
In 1.1477 3.4493 9.8034
In 3.4431 8.2145 7.4858
Pd 3.4431 5.3998 8.5092
Pd 1.1477 2.8387 5.0408

# 18
10
Lattice="4.6105 0.0000 0.0000 0.0000 4.6105 0.0000 -2.3052 -2.3052 16.2774" Properties=species:S:1:pos:R:3 comment="CeNd4Bi5, optimized geometry, DFT PBE" e_above_lowest_polymorph_ev_per_atom=0.0022 space_group="I4/mmm (139)" pbc="T T T"
Bi 2.3052 2.3052 0.0000
Nd 2.3052 2.3052 3.2763
Nd 2.3052 2.3052 9.7659
Nd 0.0000 0.0000 6.5115
Bi 0.0000 0.0000 3.2382
Ce 0.0000 0.0000 0.0000
Bi 2.3052 2.3052 6.5142
Bi 2.3052 2.3052 13.0392
Bi 0.0000 0.0000 9.7633
Nd 0.0000 0.0000 13.0012

# 19
5
Lattice="4.9199 0.0000 0.0000 0.0000 4.9199 0.0000 0.0000 0.0000 4.1076" Properties=species:S:1:pos:R:3 comment="ScS2NF, optimized geometry, DFT PBE" e_above_lowest_polymorph_ev_per_atom=0.0000 raw_formation_energy_ev_per_atom=0.370 space_group="P4/mmm (123)" pbc="T T T"
F 2.4600 2.4600 2.0538
N 0.0000 0.0000 2.0538
Sc 0.0000 0.0000 0.0000
S 0.0000 2.4600 0.0000
S 2.4600 0.0000 0.0000

# 20
12
Lattice="-0.1053 1.8435 6.4007 -6.9914 0.2627 -0.1907 -0.1894 -4.4804 1.2873" Properties=species:S:1:pos:R:3 comment="AgPPd, optimized geometry, DFT PBE" energy_ry_per_atom=-0.33540 space_group="P2_1/c (14)" pbc="T T T"
Ag -0.1461 0.0242 4.2915
Pd -4.3213 0.0680 3.7906
P -5.1369 -2.0847 4.6324
P -2.1493 -0.2894 2.8649
Pd -4.4561 -1.4709 6.8692
Pd -2.8301 -0.9033 0.6281
Ag -0.2681 -1.7378 6.5954
Pd -2.9648 -2.4422 3.7067
Ag -7.0181 -0.6363 0.9020
P -5.0751 0.7317 5.9894
Ag -7.1401 -2.3984 3.2058
P -2.2111 -3.1059 1.5079